Nd2HoS3 (GGA-PBE, optimized geometry); raw formation energy = -2.0082 eV per atom; symmetry = P-3m1, No. 164; density of states at the Fermi level = 0.467 states/eV per atom
1.0
3.9994 0.0000 0.0000
-1.9997 3.4636 0.0000
0.0000 0.0000 9.8677
Nd Ho S
2 1 3
direct
0.3333 0.6667 0.1697
0.6667 0.3333 0.8303
0.0000 0.0000 0.5000
0.0000 0.0000 0.0000
0.3333 0.6667 0.6529
0.6667 0.3333 0.3471

---

RbFeAu2 (GGA-PBE, optimized geometry); DFT formation energy = 0.692 eV/atom; symmetry = Fm-3m, No. 225; density of states at the Fermi level = 1.740 states/eV per atom; polymorph energy (0 for the lowest one) = 413 meV/atom
1.0
7.2400 0.0000 0.0000
0.0000 7.2400 0.0000
0.0000 0.0000 7.2400
Rb Fe Au
4 4 8
direct
0.0000 0.0000 0.0000
0.0000 0.5000 0.5000
0.5000 0.0000 0.5000
0.5000 0.5000 0.0000
0.0000 0.0000 0.5000
0.0000 0.5000 0.0000
0.5000 0.0000 0.0000
0.5000 0.5000 0.5000
0.2500 0.2500 0.2500
0.2500 0.2500 0.7500
0.2500 0.7500 0.2500
0.2500 0.7500 0.7500
0.7500 0.2500 0.2500
0.7500 0.2500 0.7500
0.7500 0.7500 0.2500
0.7500 0.7500 0.7500

---

Y3Cu (GGA-PBE, optimized geometry); DFT formation energy = 0.113 eV/atom; symmetry = Pmmn, No. 59; density of states at the Fermi level = 1.192 states/eV per atom
1.0
4.9836 0.0000 0.0000
0.0000 6.7475 0.0000
0.0000 0.0000 6.2475
Y Cu
6 2
direct
0.2500 0.0109 0.1626
0.2500 0.2500 0.6168
0.2500 0.4891 0.1626
0.7500 0.5109 0.8374
0.7500 0.7500 0.3832
0.7500 0.9891 0.8374
0.2500 0.7500 0.6706
0.7500 0.2500 0.3294

---

LiCe2Ga8 (GGA-PBE, optimized geometry); DFT formation energy = -0.395 eV/atom; symmetry = P4/mmm, No. 123; density of states at the Fermi level = 0.939 states/eV per atom
1.0
4.3839 0.0000 0.0000
0.0000 4.3839 0.0000
0.0000 0.0000 11.2896
Li Ce Ga
1 2 8
direct
0.0000 0.0000 0.0000
0.0000 0.0000 0.3098
0.0000 0.0000 0.6902
0.0000 0.5000 0.1223
0.0000 0.5000 0.5000
0.0000 0.5000 0.8777
0.5000 0.0000 0.1223
0.5000 0.0000 0.5000
0.5000 0.0000 0.8777
0.5000 0.5000 0.3052
0.5000 0.5000 0.6948

---

SiP2Ru (GGA-PBE, optimized geometry); raw formation energy = -0.1424 eV per atom; symmetry = Amm2, No. 38; density of states at the Fermi level = 0.296 states/eV per atom
1.0
4.3037 0.0000 0.0000
0.0000 4.0469 0.0000
0.0000 0.0000 7.3202
Si P Ru
2 4 2
direct
0.0000 0.0000 0.0000
0.0000 0.5000 0.5000
0.0000 0.0000 0.6637
0.0000 0.5000 0.1637
0.5000 0.0000 0.1729
0.5000 0.5000 0.6729
0.5000 0.0000 0.8302
0.5000 0.5000 0.3302

---

YRe2Pt (GGA-PBE, optimized geometry); DFT formation energy = 0.155 eV/atom; symmetry = F-43m, No. 216; density of states at the Fermi level = 1.601 states/eV per atom; polymorph energy (0 for the lowest one) = 288 meV/atom
1.0
6.5418 0.0000 0.0000
0.0000 6.5418 0.0000
0.0000 0.0000 6.5418
Y Re Pt
4 8 4
direct
0.0000 0.0000 0.0000
0.0000 0.5000 0.5000
0.5000 0.0000 0.5000
0.5000 0.5000 0.0000
0.0000 0.0000 0.5000
0.0000 0.5000 0.0000
0.2500 0.2500 0.2500
0.2500 0.7500 0.7500
0.5000 0.0000 0.0000
0.5000 0.5000 0.5000
0.7500 0.2500 0.7500
0.7500 0.7500 0.2500
0.2500 0.2500 0.7500
0.2500 0.7500 0.2500
0.7500 0.2500 0.2500
0.7500 0.7500 0.7500

---

Mn2FeB (GGA-PBE, optimized geometry); DFT formation energy = 0.473 eV/atom; symmetry = I-42d, No. 122; density of states at the Fermi level = 1.202 states/eV per atom
1.0
3.2243 0.0000 0.0000
0.0000 3.2243 0.0000
0.0000 0.0000 15.6414
Mn Fe B
8 4 4
direct
0.2015 0.2500 0.1250
0.2500 0.7015 0.3750
0.2500 0.7985 0.8750
0.2985 0.2500 0.6250
0.7015 0.7500 0.6250
0.7500 0.2015 0.8750
0.7500 0.2985 0.3750
0.7985 0.7500 0.1250
0.0000 0.0000 0.5000
0.0000 0.5000 0.7500
0.5000 0.0000 0.2500
0.5000 0.5000 0.0000
0.0000 0.0000 0.0000
0.0000 0.5000 0.2500
0.5000 0.0000 0.7500
0.5000 0.5000 0.5000

---

PmCd2As2Pd7 (GGA-PBE, optimized geometry); DFT formation energy = -0.426 eV/atom; symmetry = C2/m, No. 12; density of states at the Fermi level = 0.400 states/eV per atom
1.0
2.8520 -2.8339 0.0000
2.8520 2.8339 0.0000
-2.0949 0.0000 14.4298
Pm Cd As Pd
1 2 2 7
direct
0.0000 0.0000 0.0000
0.1119 0.1119 0.4001
0.8881 0.8881 0.5999
0.4075 0.4075 0.7436
0.5925 0.5925 0.2564
0.0560 0.5568 0.1550
0.3761 0.3761 0.5762
0.4432 0.9440 0.8450
0.5000 0.5000 0.0000
0.5568 0.0560 0.1550
0.6239 0.6239 0.4238
0.9440 0.4432 0.8450

---

TaGaH (GGA-PBE, optimized geometry); symmetry = P3m1, No. 156; density of states at the Fermi level = 0.255 states/eV per atom; polymorph energy (0 for the lowest one) = 19 meV/atom
1.0
3.1653 0.0000 0.0000
-1.5827 2.7412 0.0000
0.0000 0.0000 4.2771
Ta Ga H
1 1 1
direct
0.0000 0.0000 0.0000
0.6667 0.3333 0.4878
0.3333 0.6667 0.8871

---

Nd12Cd3H5 (GGA-PBE, optimized geometry); DFT total energy = -4.0227 eV per atom; symmetry = Ia-3d, No. 230; density of states at the Fermi level = 1.078 states/eV per atom
1.0
-8.0748 8.0748 8.0748
8.0748 -8.0748 8.0748
8.0748 8.0748 -8.0748
Nd Cd H
48 12 20
direct
0.0126 0.2049 0.1076
0.0126 0.3077 0.9050
0.0950 0.6076 0.4027
0.0950 0.9874 0.6923
0.0973 0.7049 0.6923
0.0973 0.8924 0.4050
0.1076 0.0126 0.2049
0.1076 0.5950 0.9027
0.1923 0.2049 0.5973
0.1923 0.4874 0.5950
0.2049 0.1076 0.0126
0.2049 0.5973 0.1923
0.2951 0.3077 0.9027
0.2951 0.4874 0.3924
0.3077 0.9027 0.2951
0.3077 0.9050 0.0126
0.3924 0.2951 0.4874
0.3924 0.5973 0.9050
0.4027 0.0950 0.6076
0.4027 0.8077 0.7951
0.4050 0.0973 0.8924
0.4050 0.8077 0.5126
0.4874 0.3924 0.2951
0.4874 0.5950 0.1923
0.5126 0.4050 0.8077
0.5126 0.6076 0.7049
0.5950 0.1923 0.4874
0.5950 0.9027 0.1076
0.5973 0.1923 0.2049
0.5973 0.9050 0.3924
0.6076 0.4027 0.0950
0.6076 0.7049 0.5126
0.6923 0.0950 0.9874
0.6923 0.0973 0.7049
0.7049 0.5126 0.6076
0.7049 0.6923 0.0973
0.7951 0.4027 0.8077
0.7951 0.8924 0.9874
0.8077 0.5126 0.4050
0.8077 0.7951 0.4027
0.8924 0.4050 0.0973
0.8924 0.9874 0.7951
0.9027 0.1076 0.5950
0.9027 0.2951 0.3077
0.9050 0.0126 0.3077
0.9050 0.3924 0.5973
0.9874 0.6923 0.0950
0.9874 0.7951 0.8924
0.1250 0.2500 0.3750
0.1250 0.3750 0.7500
0.2500 0.3750 0.1250
0.2500 0.8750 0.6250
0.3750 0.1250 0.2500
0.3750 0.7500 0.1250
0.6250 0.2500 0.8750
0.6250 0.8750 0.7500
0.7500 0.1250 0.3750
0.7500 0.6250 0.8750
0.8750 0.6250 0.2500
0.8750 0.7500 0.6250
0.0000 0.0000 0.0000
0.0000 0.0000 0.5000
0.0000 0.5000 0.0000
0.0000 0.5000 0.5000
0.1250 0.7500 0.8750
0.1250 0.8750 0.2500
0.2500 0.1250 0.8750
0.2500 0.6250 0.3750
0.3750 0.2500 0.6250
0.3750 0.6250 0.7500
0.5000 0.0000 0.0000
0.5000 0.0000 0.5000
0.5000 0.5000 0.0000
0.5000 0.5000 0.5000
0.6250 0.3750 0.2500
0.6250 0.7500 0.3750
0.7500 0.3750 0.6250
0.7500 0.8750 0.1250
0.8750 0.1250 0.7500
0.8750 0.2500 0.1250

---

H2AuO2 (GGA-PBE, optimized geometry); DFT total energy = -4.4391 eV per atom; symmetry = C2/m, No. 12; density of states at the Fermi level = 0.192 states/eV per atom
1.0
6.9453 0.0000 0.0000
0.0000 3.4738 0.0000
-2.7068 0.0000 5.1898
H Au O
4 2 4
direct
0.2373 0.0000 0.1463
0.2627 0.5000 0.8537
0.7373 0.5000 0.1463
0.7627 0.0000 0.8537
0.0000 0.0000 0.5000
0.5000 0.5000 0.5000
0.1044 0.5000 0.7485
0.3956 0.0000 0.2515
0.6044 0.0000 0.7485
0.8956 0.5000 0.2515

---

PrDyEr3Tm (GGA-PBE, optimized geometry); DFT formation energy = 0.010 eV/atom; symmetry = P2_1/m, No. 11; density of states at the Fermi level = 1.503 states/eV per atom
1.0
6.2610 0.0000 0.0000
0.0000 5.6287 0.0000
-0.0190 0.0000 10.8450
Pr Dy Er Tm
2 2 6 2
direct
0.1682 0.2500 0.1673
0.8318 0.7500 0.8327
0.3311 0.7500 0.6655
0.6689 0.2500 0.3345
0.1655 0.2500 0.5003
0.3358 0.7500 0.9992
0.3370 0.7500 0.3360
0.6630 0.2500 0.6640
0.6642 0.2500 0.0008
0.8345 0.7500 0.4997
0.1668 0.2500 0.8313
0.8332 0.7500 0.1687

---

density of states at the Fermi level of number 10 (Nd12Cd3H5)? 1.078 states/eV per atom